The following is a PBE-GGA calculation of crystalline Ce2Ga3Ge3 at its relaxed geometry, from Alexandria via LeMat-Bulk.

Unit cell a=4.3266 b=4.4140 c=8.5222 alpha=90.00 beta=90.00 gamma=90.00
Space group Pmmm (No. 47)
Inequivalent atoms, fractional coordinates:
Ce 0.0000 0.0000 0.2453 [2 per cell]
Ga 0.0000 0.5000 0.5000 [1 per cell]
Ga 0.5000 0.5000 0.2567 [2 per cell]
Ge 0.0000 0.5000 0.0000 [1 per cell]
Ge 0.5000 0.0000 0.0000 [1 per cell]
Ge 0.5000 0.0000 0.5000 [1 per cell]

Calculated density (Mg/m³): 7.2
Formation enthalpy at 0 K (eV per atom): -0.53
V (Å³/cell): 163



The following is a PBE-GGA calculation of crystalline Ce12Ga6Ge at its relaxed geometry, from Alexandria via LeMat-Bulk.

Unit cell a=14.0290 b=14.0290 c=8.3971 alpha=90.00 beta=90.00 gamma=120.00
Space group R-3m (No. 166, hexagonal axes)
Inequivalent atoms, fractional coordinates:
Ce 0.0000 0.3697 0.0000 [18 per cell]
Ce 0.0951 0.1902 0.7088 [18 per cell]
Ga 0.1072 0.5536 0.7378 [18 per cell]
Ge 0.0000 0.0000 0.5000 [3 per cell]

Calculated density (Mg/m³): 7.6
Formation enthalpy at 0 K (eV per atom): -0.20
V (Å³/cell): 1431



The following is a PBE-GGA calculation of crystalline CeGaGe at its relaxed geometry, from Alexandria via LeMat-Bulk.

Unit cell a=4.2241 b=4.2241 c=4.3416 alpha=90.00 beta=90.00 gamma=120.00
Space group P3m1 (No. 156)
Inequivalent atoms, fractional coordinates:
Ce 0.0000 0.0000 0.0000 [1 per cell]
Ga 0.6667 0.3333 0.5766 [1 per cell]
Ge 0.3333 0.6667 0.4365 [1 per cell]

Calculated density (Mg/m³): 7.0
Formation enthalpy at 0 K (eV per atom): -0.63
V (Å³/cell): 67



The following is a PBE-GGA calculation of crystalline Ce2GaGe2 at its relaxed geometry, from Alexandria via LeMat-Bulk.

Unit cell a=7.2059 b=7.2059 c=4.4114 alpha=90.00 beta=90.00 gamma=90.00
Space group P4/mbm (No. 127)
Inequivalent atoms, fractional coordinates:
Ce 0.1790 0.3210 0.0000 [4 per cell]
Ga 0.0000 0.0000 0.5000 [2 per cell]
Ge 0.1247 0.6247 0.5000 [4 per cell]

Calculated density (Mg/m³): 7.2
E above lowest polymorph (meV/atom): 6.0
Formation enthalpy at 0 K (eV per atom): -0.65
V (Å³/cell): 229



The following is a PBE-GGA calculation of crystalline CeGaGe2 at its relaxed geometry, from Alexandria via LeMat-Bulk.

Unit cell a=4.4982 b=4.4982 c=14.6741 alpha=90.00 beta=90.00 gamma=120.00
Space group R-3m (No. 166, hexagonal axes)
Inequivalent atoms, fractional coordinates:
Ce 0.0000 0.0000 0.0000 [3 per cell]
Ga 0.0000 0.0000 0.5000 [3 per cell]
Ge 0.0000 0.0000 0.2178 [6 per cell]

Calculated density (Mg/m³): 6.9
E above lowest polymorph (meV/atom): 194.7
Formation enthalpy at 0 K (eV per atom): -0.35
V (Å³/cell): 257



The following is a PBE-GGA calculation of crystalline Ce12GaGe6 at its relaxed geometry, from Alexandria via LeMat-Bulk.

Unit cell a=11.5484 b=11.5484 c=12.3234 alpha=90.00 beta=90.00 gamma=120.00
Space group R-3 (No. 148, hexagonal axes)
Inequivalent atoms, fractional coordinates:
Ce 0.0552 0.2030 0.3378 [18 per cell]
Ce 0.0602 0.8382 0.8826 [18 per cell]
Ga 0.0000 0.0000 0.5000 [3 per cell]
Ge 0.0054 0.4282 0.2297 [18 per cell]

Calculated density (Mg/m³): 7.7
Formation enthalpy at 0 K (eV per atom): -0.43
V (Å³/cell): 1423



Q: Which of these has the highest calculated density?
A: Ce12GaGe6